(1)
Here is a relaxed Tm3CoSe2 crystal from Alexandria via LeMat-Bulk. Energies are from PBE.

Crystal system = orthorhombic
Magnetization = 0.00 μB per formula unit
Formation energy (no corrections) = -1.129 eV/atom

The structure in extended XYZ format:
```
6
Lattice="-0.4752 1.3004 -3.5644 5.5528 1.0507 -0.3569 -1.5906 -6.9448 -0.2706" Properties=species:S:1:pos:R:3 pbc="T T T"
Tm 0.6762 -4.1143 -1.5912
Tm 0.0000 0.0000 0.0000
Tm 2.8108 -0.4795 -2.6007
Co 2.7764 0.5253 -0.1785
Se 0.0955 -1.3767 -2.5661
Se 3.3915 -3.2170 -1.6258
```



(2)
Here is a relaxed Tm4CoSe2 crystal from Alexandria via LeMat-Bulk. Energies are from PBE.

Crystal system = orthorhombic
Magnetization = 0.00 μB per formula unit
Formation energy (no corrections) = -1.008 eV/atom

The structure in extended XYZ format:
```
14
Lattice="-1.3378 -3.1731 -1.4371 6.3016 0.6462 -2.4488 4.9236 -6.9799 10.8283" Properties=species:S:1:pos:R:3 pbc="T T T"
Tm 5.3840 -4.7817 5.5460
Tm 4.5034 -4.7252 1.3965
Tm 3.3271 -3.0576 -1.1905
Tm 6.5603 -6.4493 8.1330
Tm 8.2244 -7.6897 4.4784
Tm 1.6630 -1.8171 2.4641
Tm -0.6689 -1.5866 -0.7186
Tm 1.7929 -5.0765 4.6956
Co 5.6640 -2.4850 0.2143
Co 4.2234 -7.0218 6.7281
Se 7.9495 -8.7675 7.1141
Se 1.9379 -0.7393 -0.1716
Se 6.1526 -6.2201 3.1622
Se 3.7348 -3.2867 3.7803
```



(3)
Here is a relaxed U6CoSe12 crystal from Alexandria via LeMat-Bulk. Energies are from PBE.

Crystal system = trigonal
Magnetization = 14.93 μB per formula unit
Formation energy (no corrections) = -0.986 eV/atom

The structure in extended XYZ format:
```
19
Lattice="8.0593 -0.1200 -0.1438 -1.3404 7.9479 -0.1438 -1.3404 -1.5617 7.7943" Properties=species:S:1:pos:R:3 pbc="T T T"
U 4.0375 6.2647 2.6618
U 4.5083 2.0481 0.8673
U -0.2018 4.5301 2.1701
U 1.3409 0.0015 4.8450
U 0.8701 4.2181 6.6395
U 5.5802 1.7361 5.3367
Co 0.0000 0.0000 0.0000
Se 5.2939 3.7790 3.1466
Se 1.5901 5.5997 4.2804
Se 2.9327 2.0585 6.2744
Se 0.0845 2.4873 4.3602
Se 3.7883 0.6666 3.2264
Se 2.4457 4.2077 1.2324
Se -1.2185 7.2195 2.2244
Se -1.9424 4.0580 7.2174
Se 4.3056 7.3344 0.0060
Se 6.5969 -0.9533 5.2824
Se 7.3208 2.2082 0.2894
Se 1.0728 -1.0682 7.5008
```